[1]
Computed, not measured: a relaxed Be4Mo3 crystal at the PBE level of DFT.

Cell: 2.6685 2.6685 22.7769 Å, 90.00 90.00 90.00°
Space group I4/mmm (No. 139)
Inequivalent atoms, fractional coordinates:
Be  0.0000  0.0000  0.0760
Be  0.0000  0.0000  0.3762
Mo  0.0000  0.0000  0.1986
Mo  0.0000  0.0000  0.5000

## Properties
formation energy	0.06	eV/atom

=====

[2]
Computed, not measured: a relaxed Be2Mo crystal at the PBE level of DFT.

Cell: 8.9723 2.5143 6.2752 Å, 90.00 111.19 90.00°
Space group C2/m (No. 12)
Inequivalent atoms, fractional coordinates:
Be  0.0379  0.0000  0.2252
Be  0.1552  0.5000  0.0271
Mo  0.1575  0.5000  0.6193

## Properties
formation energy	0.04	eV/atom
distance to the lowest polymorph of the same formula	0.374	eV/atom

=====

[3]
Computed, not measured: a relaxed BeMo crystal at the PBE level of DFT.

Cell: 8.5613 3.3130 7.0962 Å, 90.00 90.00 90.00°
Space group Pnma (No. 62)
Inequivalent atoms, fractional coordinates:
Be  0.0334  0.2500  0.0770
Be  0.1622  0.7500  0.1421
Mo  0.0518  0.2500  0.6612
Mo  0.2322  0.2500  0.3519

## Properties
formation energy	0.29	eV/atom
distance to the lowest polymorph of the same formula	0.526	eV/atom

=====

[4]
Computed, not measured: a relaxed BeMo crystal at the PBE level of DFT.

Cell: 2.6513 2.6513 3.5057 Å, 90.00 90.00 90.00°
Space group P4/mmm (No. 123)
Inequivalent atoms, fractional coordinates:
Be  0.0000  0.0000  0.0000
Mo  0.5000  0.5000  0.5000

## Properties
formation energy	0.09	eV/atom
distance to the lowest polymorph of the same formula	0.325	eV/atom

=====

[5]
Computed, not measured: a relaxed BeMo crystal at the PBE level of DFT.

Cell: 4.3308 4.3308 6.8010 Å, 90.00 90.00 120.00°
Space group P6_3/mmc (No. 194)
Inequivalent atoms, fractional coordinates:
Be  0.3333  0.6667  0.0924
Mo  0.0000  0.0000  0.2500
Mo  0.3333  0.6667  0.7500

## Properties
formation energy	0.67	eV/atom
distance to the lowest polymorph of the same formula	0.905	eV/atom

=====

[6]
Computed, not measured: a relaxed BeMo crystal at the PBE level of DFT.

Cell: 2.8913 2.8913 2.8913 Å, 90.00 90.00 90.00°
Space group Pm-3m (No. 221)
Inequivalent atoms, fractional coordinates:
Be  0.0000  0.0000  0.0000
Mo  0.5000  0.5000  0.5000

## Properties
formation energy	0.20	eV/atom
distance to the lowest polymorph of the same formula	0.440	eV/atom

=====

[7]
Computed, not measured: a relaxed BeMo2 crystal at the PBE level of DFT.

Cell: 5.2566 5.2566 7.9567 Å, 90.00 90.00 120.00°
Space group P6_3/mmc (No. 194)
Inequivalent atoms, fractional coordinates:
Be  0.3333  0.6667  0.0846
Mo  0.0000  0.0000  0.0000
Mo  0.1743  0.3486  0.7500

## Properties
formation energy	0.78	eV/atom
distance to the lowest polymorph of the same formula	0.905	eV/atom

=====

[8]
Computed, not measured: a relaxed Be5Mo crystal at the PBE level of DFT.

Cell: 3.4896 2.4020 13.8582 Å, 90.00 90.00 90.00°
Space group Amm2 (No. 38)
Inequivalent atoms, fractional coordinates:
Be  0.0000  0.0000  0.0000
Be  0.0000  0.0000  0.2739
Be  0.0000  0.0000  0.6374
Be  0.5000  0.0000  0.1850
Be  0.5000  0.0000  0.5384
Mo  0.5000  0.0000  0.8696

## Properties
formation energy	0.11	eV/atom
distance to the lowest polymorph of the same formula	0.256	eV/atom

=====

[9]
Computed, not measured: a relaxed BeMo crystal at the PBE level of DFT.

Cell: 2.7018 2.7018 8.2873 Å, 90.00 90.00 120.00°
Space group P-3m1 (No. 164)
Inequivalent atoms, fractional coordinates:
Be  0.3333  0.6667  0.1019
Mo  0.3333  0.6667  0.6493

## Properties
formation energy	0.36	eV/atom
distance to the lowest polymorph of the same formula	0.593	eV/atom

=====

[10]
Computed, not measured: a relaxed Be7Mo6 crystal at the PBE level of DFT.

Cell: 4.6020 4.6020 24.9545 Å, 90.00 90.00 120.00°
Space group R-3m (No. 166, hexagonal axes)
Inequivalent atoms, fractional coordinates:
Be  0.0000  0.0000  0.0000
Be  0.0046  0.5023  0.4086
Mo  0.0000  0.0000  0.1661
Mo  0.0000  0.0000  0.3513
Mo  0.0000  0.0000  0.4512

## Properties
formation energy	-0.18	eV/atom

=====

[11]
Computed, not measured: a relaxed BeMo crystal at the PBE level of DFT.

Cell: 2.6996 2.6996 12.5461 Å, 90.00 90.00 120.00°
Space group R-3m (No. 166, hexagonal axes)
Inequivalent atoms, fractional coordinates:
Be  0.0000  0.0000  0.0000
Mo  0.0000  0.0000  0.5000

## Properties
formation energy	0.37	eV/atom
distance to the lowest polymorph of the same formula	0.608	eV/atom

=====

[12]
Computed, not measured: a relaxed Be2Mo crystal at the PBE level of DFT.

Cell: 5.4062 5.4062 4.0720 Å, 90.00 90.00 120.00°
Space group P-62m (No. 189)
Inequivalent atoms, fractional coordinates:
Be  0.0000  0.2110  0.0000
Be  0.0000  0.4829  0.5000
Mo  0.0000  0.0000  0.5000
Mo  0.3333  0.6667  0.0000

## Properties
formation energy	0.49	eV/atom
distance to the lowest polymorph of the same formula	0.818	eV/atom

=====

[13]
Computed, not measured: a relaxed Be2Mo crystal at the PBE level of DFT.

Cell: 5.3761 5.3761 5.3761 Å, 90.00 90.00 90.00°
Space group Pa-3 (No. 205)
Inequivalent atoms, fractional coordinates:
Be  0.1116  0.1116  0.1116
Mo  0.0000  0.0000  0.5000

## Properties
formation energy	1.29	eV/atom
distance to the lowest polymorph of the same formula	1.619	eV/atom

=====

[14]
Computed, not measured: a relaxed BeMo2 crystal at the PBE level of DFT.

Cell: 6.3156 3.2556 7.7777 Å, 90.00 90.00 90.00°
Space group Pnma (No. 62)
Inequivalent atoms, fractional coordinates:
Be  0.2485  0.2500  0.1431
Mo  0.0398  0.7500  0.3311
Mo  0.1426  0.7500  0.9386

## Properties
formation energy	-0.05	eV/atom
distance to the lowest polymorph of the same formula	0.075	eV/atom

=====

[15]
Computed, not measured: a relaxed Be2Mo crystal at the PBE level of DFT.

Cell: 2.4312 3.3546 8.3649 Å, 90.00 90.00 90.00°
Space group Immm (No. 71)
Inequivalent atoms, fractional coordinates:
Be  0.0000  0.0000  0.2192
Mo  0.0000  0.5000  0.0000

## Properties
formation energy	0.29	eV/atom
distance to the lowest polymorph of the same formula	0.621	eV/atom

=====

[16]
Computed, not measured: a relaxed Be2Mo crystal at the PBE level of DFT.

Cell: 4.4517 4.4517 7.3039 Å, 90.00 90.00 120.00°
Space group P6_3/mmc (No. 194)
Inequivalent atoms, fractional coordinates:
Be  0.0000  0.0000  0.0000
Be  0.1694  0.3389  0.2500
Mo  0.3333  0.6667  0.5633

## Properties
formation energy	-0.33	eV/atom
distance to the lowest polymorph of the same formula	0.000	eV/atom

=====

[17]
Computed, not measured: a relaxed BeMo crystal at the PBE level of DFT.

Cell: 3.5059 3.9938 3.5155 Å, 90.00 90.00 90.00°
Space group Cmmm (No. 65)
Inequivalent atoms, fractional coordinates:
Be  0.0000  0.0000  0.0000
Mo  0.0000  0.5000  0.5000

## Properties
formation energy	0.07	eV/atom
distance to the lowest polymorph of the same formula	0.305	eV/atom

=====

[18]
Computed, not measured: a relaxed Be2Mo3 crystal at the PBE level of DFT.

Cell: 8.8398 12.6955 4.7181 Å, 90.00 90.00 90.00°
Space group Fdd2 (No. 43)
Inequivalent atoms, fractional coordinates:
Be  0.0219  0.3000  0.0000
Mo  0.0000  0.0000  0.4652
Mo  0.0335  0.3914  0.4734

## Properties
formation energy	0.19	eV/atom

=====

[19]
Computed, not measured: a relaxed BeMo crystal at the PBE level of DFT.

Cell: 12.8602 2.6004 4.4420 Å, 90.00 90.00 90.00°
Space group Pmn2_1 (No. 31)
Inequivalent atoms, fractional coordinates:
Be  0.0000  0.0408  0.0000
Be  0.1483  0.9977  0.7273
Mo  0.0000  0.5683  0.4960
Mo  0.1794  0.4030  0.2236

## Properties
formation energy	0.07	eV/atom
distance to the lowest polymorph of the same formula	0.306	eV/atom

=====

[20]
Computed, not measured: a relaxed BeMoN3 crystal at the PBE level of DFT.

Cell: 3.9094 3.9094 3.9094 Å, 90.00 90.00 90.00°
Space group Pm-3m (No. 221)
Inequivalent atoms, fractional coordinates:
Be  0.0000  0.0000  0.0000
Mo  0.5000  0.5000  0.5000
N  0.0000  0.5000  0.5000

## Properties
energy relative to the elements, uncorrected	1088	meV per atom

=====

[21]
Computed, not measured: a relaxed BeMo3N crystal at the PBE level of DFT.

Cell: 4.0606 4.0606 4.0606 Å, 90.00 90.00 90.00°
Space group Pm-3m (No. 221)
Inequivalent atoms, fractional coordinates:
Be  0.0000  0.0000  0.0000
Mo  0.0000  0.5000  0.5000
N  0.5000  0.5000  0.5000

## Properties
energy relative to the elements, uncorrected	22	meV per atom
distance to the lowest polymorph of the same formula	0.000	eV/atom

=====

[22]
Computed, not measured: a relaxed Be2MoN2 crystal at the PBE level of DFT.

Cell: 5.9817 5.9817 2.7547 Å, 90.00 90.00 90.00°
Space group P4/mbm (No. 127)
Inequivalent atoms, fractional coordinates:
Be  0.1329  0.3671  0.0000
Mo  0.0000  0.0000  0.0000
N  0.2170  0.2830  0.5000

## Properties
energy relative to the elements, uncorrected	560	meV per atom
distance to the lowest polymorph of the same formula	0.331	eV/atom

=====

[23]
Computed, not measured: a relaxed Be2MoN2 crystal at the PBE level of DFT.

Cell: 3.4948 3.4948 6.7043 Å, 90.00 90.00 90.00°
Space group I4/mmm (No. 139)
Inequivalent atoms, fractional coordinates:
Be  0.0000  0.0000  0.1684
Mo  0.0000  0.0000  0.5000
N  0.0000  0.5000  0.2500

## Properties
energy relative to the elements, uncorrected	229	meV per atom
distance to the lowest polymorph of the same formula	0.000	eV/atom

=====

[24]
Computed, not measured: a relaxed BeMoN3 crystal at the PBE level of DFT.

Cell: 3.4158 3.4158 3.4158 Å, 90.00 90.00 90.00°
Space group Pm-3m (No. 221)
Inequivalent atoms, fractional coordinates:
Be  0.0000  0.0000  0.0000
Mo  0.5000  0.5000  0.5000
N  0.0000  0.0000  0.5000

## Properties
energy relative to the elements, uncorrected	1027	meV per atom

=====

[25]
Computed, not measured: a relaxed Be3MoN crystal at the PBE level of DFT.

Cell: 4.3187 4.3187 4.3187 Å, 90.00 90.00 90.00°
Space group Pm-3m (No. 221)
Inequivalent atoms, fractional coordinates:
Be  0.0000  0.0000  0.5000
Mo  0.0000  0.0000  0.0000
N  0.5000  0.5000  0.5000

## Properties
energy relative to the elements, uncorrected	2539	meV per atom
distance to the lowest polymorph of the same formula	2.186	eV/atom